(1)
As2BrOF: optimized geometry, PBE.

Lattice parameters (Å, degrees): 4.227 4.227 5.154 90.00 90.00 90.00
Fractional coordinates of all 5 atoms:
O 0.000 0.000 0.000
Br 0.000 0.000 0.500
F 0.500 0.500 0.500
As 0.500 0.000 0.000
As 0.000 0.500 0.000

* magnetization: 0.000 μB/atom
* excess energy over the best structure of this formula in the dataset: 0.00 eV/f.u.
* final energy: -3.325 eV per atom
* formation energy from raw total energies: 22.7 kJ per mole of atoms

(2)
LaSnRh: optimized geometry, PBE.

Lattice parameters (Å, degrees): 4.020 4.640 4.640 120.00 90.00 90.00
Fractional coordinates of all 3 atoms:
Sn 0.167 0.333 0.667
La 0.667 0.667 0.333
Rh 0.167 0.000 0.000

* ΔE_f: -0.75 eV/atom
* magnetization: 0.000 μB/atom
* final energy: -6.178 eV per atom

(3)
Nd2CoSi3: optimized geometry, PBE.

Lattice parameters (Å, degrees): 4.038 4.038 8.489 90.00 90.00 120.00
Fractional coordinates of all 6 atoms:
Si 0.000 0.000 0.000
Si 0.667 0.333 0.500
Si 0.000 0.000 0.500
Co 0.667 0.333 0.000
Nd 0.333 0.667 0.756
Nd 0.333 0.667 0.244

* magnetization: 0.000 μB/atom
* excess energy over the best structure of this formula in the dataset: 0.82 eV/f.u.
* final energy: -6.080 eV per atom
* formation energy from raw total energies: -57.4 kJ per mole of atoms

(4)
CsHfPPb2: optimized geometry, PBE.

Lattice parameters (Å, degrees): 5.626 6.316 5.626 90.00 90.00 90.00
Last column: magnetic moment on the atom in μB.
Fractional coordinates of all 5 atoms:
Cs 0.000 0.500 0.000  0.03
Hf 0.000 0.000 0.000  0.40
Pb 0.500 0.000 0.000  0.01
Pb 0.000 0.000 0.500  -0.02
P 0.500 0.500 0.500  0.81

* ΔE_f: 1.01 eV/atom
* magnetization: 0.511 μB/atom
* final energy: -3.719 eV per atom

(5)
SmPd8Pb2: optimized geometry, PBE.

Lattice parameters (Å, degrees): 5.033 7.611 7.611 119.41 106.85 106.85
Fractional coordinates of all 11 atoms:
Pd 0.853 0.905 0.671
Pd 0.500 0.216 0.784
Pd 0.853 0.671 0.905
Pd 0.305 0.565 0.565
Pd 0.147 0.095 0.329
Pd 0.147 0.329 0.095
Pd 0.695 0.435 0.435
Pd 0.500 0.784 0.216
Sm 0.500 0.000 0.000
Pb 0.000 0.690 0.310
Pb 0.000 0.310 0.690

* ΔE_f: -0.31 eV/atom
* magnetization: 0.000 μB/atom
* final energy: -5.193 eV per atom

(6)
PrAlP2Rh5: optimized geometry, PBE.

Lattice parameters (Å, degrees): 4.096 4.096 9.478 90.00 90.00 90.00
Fractional coordinates of all 9 atoms:
P 0.500 0.500 0.739
P 0.500 0.500 0.261
Rh 0.500 0.500 0.500
Rh 0.500 0.000 0.158
Rh 0.000 0.500 0.842
Rh 0.500 0.000 0.842
Rh 0.000 0.500 0.158
Pr 0.000 0.000 0.500
Al 0.000 0.000 0.000

* ΔE_f: -0.81 eV/atom
* magnetization: 0.000 μB/atom
* final energy: -7.043 eV per atom